This record from Alexandria via LeMat-Bulk describes an optimized crystal structure of TlCrF4. The functional is PBE with a Hubbard U.

Lattice parameters (Å, degrees): 5.4267 6.5430 5.4855 90.00 90.00 90.00
Space group Pmn2_1 (No. 31)
Symmetry-distinct sites (fractional):
Tl  0.0000  0.0016  0.0000 (multiplicity 2)
Cr  0.0000  0.4999  0.5011 (multiplicity 2)
F  0.0000  0.2140  0.4274 (multiplicity 2)
F  0.0000  0.7858  0.5753 (multiplicity 2)
F  0.2500  0.4391  0.7511 (multiplicity 4)

Results
E: -5.34 eV per atom